# 1
A geometry-optimized Eu2AgGe structure. Source: Alexandria via LeMat-Bulk, functional PBE.

The offset from the most stable computed form is 0.215 eV per atom. The formation enthalpy at 0 K is -0.262 eV/atom. The total moment comes out at 42.57 μB/cell. As for the total energy: -87.20 eV for the cell shown. As for the crystal system: trigonal.

The structure belongs to space group R-3m (No. 166, hexagonal axes); the cell edges are 4.2323, 4.2323 and 24.0839 Å and the angles 90.00°, 90.00° and 120.00°. The distinct sites, in fractional coordinates, are Eu at (0.0000, 0.0000, 0.2443), Ag at (0.0000, 0.0000, 0.0000) and Ge at (0.0000, 0.0000, 0.5000).

=====

# 2
A geometry-optimized Sr2TcPt structure. Source: Alexandria via LeMat-Bulk, functional PBE.

The offset from the most stable computed form is 0.490 eV per atom. The formation enthalpy at 0 K is 0.416 eV/atom. The total moment comes out at 12.12 μB/cell. As for the total energy: -72.43 eV for the cell shown. As for the crystal system: cubic.

The structure belongs to space group Fm-3m (No. 225); the cell edges are 7.470, 7.470 and 7.470 Å and the angles 90.00°, 90.00° and 90.00°. The distinct sites, in fractional coordinates, are Sr at (0.250, 0.250, 0.250), Tc at (0.000, 0.000, 0.000) and Pt at (0.000, 0.000, 0.500).

=====

# 3
A geometry-optimized Be2NiCl6 structure. Source: Alexandria via LeMat-Bulk, functional PBE.

As for the raw formation energy: -102.72 kJ/mol of atoms. The total moment comes out at 8.00 μB/cell. As for the total energy: -135.58 eV for the cell shown. As for the crystal system: monoclinic.

The structure belongs to space group C2/c (No. 15); the cell edges are 12.744, 12.274 and 5.968 Å and the angles 90.00°, 117.02° and 90.00°. The distinct sites, in fractional coordinates, are Be at (0.225, 0.082, 0.126), Ni at (0.000, 0.266, 0.750), Cl at (0.104, 0.388, 0.640), Cl at (0.123, 0.207, 0.140) and Cl at (0.181, 0.059, 0.754).

=====

# 4
A geometry-optimized ZrCdSe2 structure. Source: Alexandria via LeMat-Bulk, functional PBE.

As for the raw formation energy: -87.62 kJ/mol of atoms. The total moment comes out at 0.00 μB/cell. As for the total energy: -60.19 eV for the cell shown. As for the crystal system: trigonal.

The structure belongs to space group R3m (No. 160, hexagonal axes); the cell edges are 3.7253, 3.7253 and 27.0209 Å and the angles 90.00°, 90.00° and 120.00°. The distinct sites, in fractional coordinates, are Zr at (0.0000, 0.0000, 0.0000), Cd at (0.0000, 0.0000, 0.1689), Se at (0.0000, 0.0000, 0.3944) and Se at (0.0000, 0.0000, 0.6057).

=====

# 5
A geometry-optimized HfTi2Re2 structure. Source: Alexandria via LeMat-Bulk, functional PBE.

The offset from the most stable computed form is 0.000 eV per atom. The formation enthalpy at 0 K is -0.147 eV/atom. The total moment comes out at 0.00 μB/cell. As for the total energy: -102.75 eV for the cell shown. As for the crystal system: orthorhombic.

The structure belongs to space group Cmmm (No. 65); the cell edges are 3.256, 16.791 and 3.161 Å and the angles 90.00°, 90.00° and 90.00°. The distinct sites, in fractional coordinates, are Hf at (0.000, 0.000, 0.000), Ti at (0.000, 0.183, 0.000) and Re at (0.000, 0.397, 0.500).

=====

# 6
A geometry-optimized Cu4NiAu structure. Source: Alexandria via LeMat-Bulk, functional PBE.

The offset from the most stable computed form is 0.097 eV per atom. The formation enthalpy at 0 K is 0.102 eV/atom. The total moment comes out at 0.00 μB/cell. As for the total energy: -99.32 eV for the cell shown. As for the crystal system: monoclinic.

The structure belongs to space group C2/m (No. 12); the cell edges are 11.265, 6.626 and 4.450 Å and the angles 90.00°, 103.95° and 90.00°. The distinct sites, in fractional coordinates, are Cu at (0.000, 0.190, 0.000), Cu at (0.120, 0.188, 0.570), Cu at (0.169, 0.500, 0.301), Ni at (0.049, 0.500, 0.765) and Au at (0.211, 0.000, 0.127).

=====

Number 1: volume 31.13 A^3/atom. Number 2: volume 26.05 A^3/atom. Number 3: volume 23.10 A^3/atom. Number 4: volume 27.06 A^3/atom. Number 5: volume 17.28 A^3/atom. Number 6: volume 13.43 A^3/atom.